# CdAu2F8 PBE relaxed
data_CdAu2F8
_space_group_name_H-M_alt 'P 1'
_space_group_IT_number 1
_space_group_name_Hall 'P 1'
_cell_length_a 5.8910
_cell_length_b 5.8910
_cell_length_c 10.5129
_cell_angle_alpha 90.00
_cell_angle_beta 90.00
_cell_angle_gamma 90.00
loop_
_atom_site_label
_atom_site_type_symbol
_atom_site_fract_x
_atom_site_fract_y
_atom_site_fract_z
Cd1 Cd 0.0000 0.0000 0.2500
Cd2 Cd 0.0000 0.0000 0.7500
Au1 Au 0.0000 0.5000 0.0000
Au2 Au 0.0000 0.5000 0.5000
Au3 Au 0.5000 0.0000 0.0000
Au4 Au 0.5000 0.0000 0.5000
F1 F 0.1453 0.3071 0.1299
F2 F 0.1453 0.3071 0.8701
F3 F 0.1453 0.6929 0.3701
F4 F 0.1453 0.6929 0.6299
F5 F 0.3071 0.1453 0.3701
F6 F 0.3071 0.1453 0.6299
F7 F 0.3071 0.8547 0.1299
F8 F 0.3071 0.8547 0.8701
F9 F 0.6929 0.1453 0.1299
F10 F 0.6929 0.1453 0.8701
F11 F 0.6929 0.8547 0.3701
F12 F 0.6929 0.8547 0.6299
F13 F 0.8547 0.3071 0.3701
F14 F 0.8547 0.3071 0.6299
F15 F 0.8547 0.6929 0.1299
F16 F 0.8547 0.6929 0.8701
# energy relative to the lowest polymorph listed for this composition	0.00	kcal/mol of atoms
# total magnetic moment	0.000	μB per formula unit
# calculated total energy	-75.2	eV for the cell shown


# CdAuF4 PBE relaxed
data_CdAuF4
_space_group_name_H-M_alt 'P 1'
_space_group_IT_number 1
_space_group_name_Hall 'P 1'
_cell_length_a 6.3593
_cell_length_b 6.3593
_cell_length_c 6.3593
_cell_angle_alpha 111.92
_cell_angle_beta 111.92
_cell_angle_gamma 104.67
loop_
_atom_site_label
_atom_site_type_symbol
_atom_site_fract_x
_atom_site_fract_y
_atom_site_fract_z
Cd1 Cd 0.3750 0.6250 0.7500
Cd2 Cd 0.6250 0.3750 0.2500
Au1 Au 0.1250 0.8750 0.2500
Au2 Au 0.8750 0.1250 0.7500
F1 F 0.0817 0.6503 0.4314
F2 F 0.2811 0.3497 0.9314
F3 F 0.3497 0.2811 0.4314
F4 F 0.3497 0.9183 0.0686
F5 F 0.6503 0.0817 0.9314
F6 F 0.6503 0.7189 0.5686
F7 F 0.7189 0.6503 0.0686
F8 F 0.9183 0.3497 0.5686
# energy relative to the lowest polymorph listed for this composition	3.56	kcal/mol of atoms
# total magnetic moment	1.023	μB per formula unit
# calculated total energy	-39.5	eV for the cell shown


What did the second record say?
# CdAuF4 PBE relaxed
data_CdAuF4
_space_group_name_H-M_alt 'P 1'
_space_group_IT_number 1
_space_group_name_Hall 'P 1'
_cell_length_a 6.3593
_cell_length_b 6.3593
_cell_length_c 6.3593
_cell_angle_alpha 111.92
_cell_angle_beta 111.92
_cell_angle_gamma 104.67
loop_
_atom_site_label
_atom_site_type_symbol
_atom_site_fract_x
_atom_site_fract_y
_atom_site_fract_z
Cd1 Cd 0.3750 0.6250 0.7500
Cd2 Cd 0.6250 0.3750 0.2500
Au1 Au 0.1250 0.8750 0.2500
Au2 Au 0.8750 0.1250 0.7500
F1 F 0.0817 0.6503 0.4314
F2 F 0.2811 0.3497 0.9314
F3 F 0.3497 0.2811 0.4314
F4 F 0.3497 0.9183 0.0686
F5 F 0.6503 0.0817 0.9314
F6 F 0.6503 0.7189 0.5686
F7 F 0.7189 0.6503 0.0686
F8 F 0.9183 0.3497 0.5686
# energy relative to the lowest polymorph listed for this composition	3.56	kcal/mol of atoms
# total magnetic moment	1.023	μB per formula unit
# calculated total energy	-39.5	eV for the cell shown


What is the calculated total energy in the first record? -75.2 eV for the cell shown


The highest calculated total energy belongs to which entry? CdAuF4